RhBr | PBE-GGA | optimized geometry

## Properties
Raw total energy: -4.2242 eV per atom
Formation energy (no corrections): 0.2879 eV per atom
M_tot: 0.0001 μB per atom
DOS(E_F): 15.900 states/eV/cell

Lattice parameters (Å, degrees): 10.7481 4.3871 5.1924 90.00 90.00 90.00
Closest atoms and distances in Å follow each position.
Sites, in units of the cell vectors:
Rh 0.7106 0.9144 0.7657  4 Br 2.54-2.68, 3 Rh 2.72-2.83
Rh 0.2106 0.0856 0.2656  4 Br 2.54-2.68, 3 Rh 2.72-2.83
Rh 0.2894 0.9144 0.7657  4 Br 2.54-2.68, 3 Rh 2.72-2.83
Rh 0.5000 0.7185 0.0046  4 Br 2.44-2.52, 2 Rh 2.72
Rh 0.0000 0.2815 0.5046  4 Br 2.44-2.52, 2 Rh 2.72
Rh 0.7894 0.0856 0.2656  4 Br 2.54-2.68, 3 Rh 2.72-2.83
Br 0.3368 0.6050 0.3386  4 Rh 2.52-2.68
Br 0.8368 0.3950 0.8386  4 Rh 2.52-2.68
Br 0.0000 0.7887 0.2888  4 Rh 2.44-2.61
Br 0.1632 0.3950 0.8386  4 Rh 2.52-2.68
Br 0.5000 0.2113 0.7888  4 Rh 2.44-2.61
Br 0.6632 0.6050 0.3386  4 Rh 2.52-2.68